A relaxed structure of VFeNi6, computed with PBE.

```
8
Lattice="3.550 0.000 0.000 0.000 3.550 0.000 0.000 0.000 7.098" Properties=species:S:1:pos:R:3 pbc="T T T"
Ni 1.775 0.000 5.309
Ni 0.000 1.775 1.789
Ni 1.775 1.775 0.000
Ni 1.775 0.000 1.789
Ni 0.000 1.775 5.309
Ni 1.775 1.775 3.549
Fe 0.000 0.000 0.000
V 0.000 0.000 3.549
```

- Relative energy among the computed polymorphs: 0.000 eV per formula unit
- V: 89 Å³/cell
- Crystal system: tetragonal
- N(E_F): 3.5 states/eV per cell
- SG: P4/mmm
- Magnetic moment: 4.7 μB per cell